The following is a DFT calculation (PBE-GGA) of a geometry-optimized SrLaPmMg structure.

Formation energy from the elements in eV/atom: 0.1377
Size of the total moment in μB/f.u.: 0.00

Unit cell a=5.891 b=5.891 c=5.891 alpha=60.00 beta=60.00 gamma=60.00
Fractional coordinates of all 4 atoms:
1 Sr 0.000 0.000 0.000
2 La 0.500 0.500 0.500
3 Pm 0.750 0.750 0.750
4 Mg 0.250 0.250 0.250

---

The following is a DFT calculation (PBE-GGA) of a geometry-optimized La6Tb2PmMg structure.

Formation energy from the elements in eV/atom: 0.0882
Size of the total moment in μB/f.u.: 0.00

Unit cell a=8.742 b=8.742 c=9.493 alpha=95.63 beta=95.63 gamma=104.82
Fractional coordinates of all 20 atoms:
1 La 0.044 0.466 0.672
2 La 0.061 0.822 0.901
3 La 0.178 0.939 0.599
4 La 0.243 0.580 0.082
5 La 0.420 0.757 0.418
6 La 0.466 0.044 0.172
7 La 0.534 0.956 0.828
8 La 0.580 0.243 0.582
9 La 0.757 0.420 0.918
10 La 0.822 0.061 0.401
11 La 0.939 0.178 0.099
12 La 0.956 0.534 0.328
13 Tb 0.236 0.301 0.404
14 Tb 0.301 0.236 0.904
15 Tb 0.699 0.764 0.096
16 Tb 0.764 0.699 0.596
17 Pm 0.430 0.570 0.750
18 Pm 0.570 0.430 0.250
19 Mg 0.096 0.904 0.250
20 Mg 0.904 0.096 0.750

---

The following is a DFT calculation (PBE-GGA) of a geometry-optimized LaTbPmMg structure.

Formation energy from the elements in eV/atom: -0.0318
E above lowest polymorph in meV/atom: 0
Size of the total moment in μB/f.u.: 0.00

Unit cell a=3.746 b=3.746 c=9.035 alpha=90.00 beta=90.00 gamma=90.00
Fractional coordinates of all 4 atoms:
1 La 0.000 0.000 0.000
2 Tb 0.500 0.500 0.725
3 Pm 0.500 0.500 0.283
4 Mg 0.000 0.000 0.509

---

The following is a DFT calculation (PBE-GGA) of a geometry-optimized La2TbPm6Mg structure.

Formation energy from the elements in eV/atom: 0.1015
Size of the total moment in μB/f.u.: 0.00

Unit cell a=8.763 b=8.763 c=9.951 alpha=95.54 beta=95.54 gamma=116.11
Fractional coordinates of all 20 atoms:
1 La 0.204 0.294 0.050
2 La 0.294 0.204 0.550
3 La 0.706 0.796 0.450
4 La 0.796 0.706 0.950
5 Tb 0.010 0.990 0.250
6 Tb 0.990 0.010 0.750
7 Pm 0.006 0.578 0.192
8 Pm 0.121 0.743 0.552
9 Pm 0.257 0.879 0.948
10 Pm 0.302 0.502 0.386
11 Pm 0.422 0.994 0.308
12 Pm 0.498 0.698 0.114
13 Pm 0.502 0.302 0.886
14 Pm 0.578 0.006 0.692
15 Pm 0.698 0.498 0.614
16 Pm 0.743 0.121 0.052
17 Pm 0.879 0.257 0.448
18 Pm 0.994 0.422 0.808
19 Mg 0.402 0.598 0.750
20 Mg 0.598 0.402 0.250

---

The following is a DFT calculation (PBE-GGA) of a geometry-optimized La4TbPm2Mg structure.

Formation energy from the elements in eV/atom: 0.0008
Size of the total moment in μB/f.u.: 0.00

Unit cell a=5.163 b=5.163 c=10.207 alpha=90.00 beta=90.00 gamma=90.00
Fractional coordinates of all 8 atoms:
1 La 0.000 0.500 0.246
2 La 0.000 0.500 0.754
3 La 0.500 0.000 0.246
4 La 0.500 0.000 0.754
5 Tb 0.000 0.000 0.500
6 Pm 0.000 0.000 0.000
7 Pm 0.500 0.500 0.500
8 Mg 0.500 0.500 0.000

---

The following is a DFT calculation (PBE-GGA) of a geometry-optimized LaTbPmMg structure.

Formation energy from the elements in eV/atom: 0.0575
E above lowest polymorph in meV/atom: 89
Size of the total moment in μB/f.u.: 0.00

Unit cell a=5.655 b=5.655 c=5.655 alpha=60.00 beta=60.00 gamma=60.00
Fractional coordinates of all 4 atoms:
1 La 0.000 0.000 0.000
2 Tb 0.500 0.500 0.500
3 Pm 0.750 0.750 0.750
4 Mg 0.250 0.250 0.250

---

The following is a DFT calculation (PBE-GGA) of a geometry-optimized LaTb2PmMg structure.

Formation energy from the elements in eV/atom: 0.0306
Size of the total moment in μB/f.u.: 0.00

Unit cell a=4.971 b=6.186 c=11.290 alpha=90.39 beta=90.00 gamma=113.67
Fractional coordinates of all 10 atoms:
1 La 0.047 0.093 0.347
2 La 0.953 0.907 0.653
3 Tb 0.147 0.295 0.047
4 Tb 0.345 0.689 0.449
5 Tb 0.655 0.311 0.551
6 Tb 0.853 0.705 0.953
7 Pm 0.251 0.503 0.757
8 Pm 0.749 0.497 0.243
9 Mg 0.446 0.892 0.138
10 Mg 0.554 0.108 0.862

---

The following is a DFT calculation (PBE-GGA) of a geometry-optimized La3Tb2Pm6Mg structure.

Formation energy from the elements in eV/atom: 0.0292
Size of the total moment in μB/f.u.: 0.00

Unit cell a=6.297 b=6.297 c=11.982 alpha=95.05 beta=95.05 gamma=120.06
Fractional coordinates of all 12 atoms:
1 La 0.000 0.000 0.000
2 La 0.332 0.668 0.000
3 La 0.668 0.332 0.000
4 Tb 0.167 0.833 0.500
5 Tb 0.833 0.167 0.500
6 Pm 0.089 0.420 0.257
7 Pm 0.249 0.249 0.744
8 Pm 0.420 0.089 0.257
9 Pm 0.580 0.911 0.743
10 Pm 0.751 0.751 0.256
11 Pm 0.911 0.580 0.743
12 Mg 0.500 0.500 0.500

---

The following is a DFT calculation (PBE-GGA) of a geometry-optimized La6Tb2Pm3Mg structure.

Formation energy from the elements in eV/atom: 0.0213
Size of the total moment in μB/f.u.: 0.00

Unit cell a=6.356 b=6.356 c=12.003 alpha=95.12 beta=95.12 gamma=120.14
Fractional coordinates of all 12 atoms:
1 La 0.081 0.412 0.245
2 La 0.250 0.250 0.753
3 La 0.412 0.081 0.245
4 La 0.588 0.919 0.755
5 La 0.750 0.750 0.247
6 La 0.919 0.588 0.755
7 Tb 0.333 0.667 0.000
8 Tb 0.667 0.333 0.000
9 Pm 0.168 0.832 0.500
10 Pm 0.500 0.500 0.500
11 Pm 0.832 0.168 0.500
12 Mg 0.000 0.000 0.000

---

The following is a DFT calculation (PBE-GGA) of a geometry-optimized LaTb2Pm2Mg structure.

Formation energy from the elements in eV/atom: 0.2100
Size of the total moment in μB/f.u.: 0.11

Unit cell a=6.186 b=18.888 c=3.429 alpha=90.00 beta=90.00 gamma=90.00
Fractional coordinates of all 12 atoms:
1 La 0.000 0.000 0.000
2 La 0.500 0.500 0.500
3 Tb 0.163 0.203 0.000
4 Tb 0.337 0.703 0.500
5 Tb 0.663 0.297 0.500
6 Tb 0.837 0.797 0.000
7 Pm 0.164 0.363 0.500
8 Pm 0.336 0.863 0.000
9 Pm 0.664 0.137 0.000
10 Pm 0.836 0.637 0.500
11 Mg 0.000 0.500 0.000
12 Mg 0.500 0.000 0.500

---

The following is a DFT calculation (PBE-GGA) of a geometry-optimized LaTb2Pm4Mg structure.

Formation energy from the elements in eV/atom: 0.0126
Size of the total moment in μB/f.u.: 0.00

Unit cell a=7.171 b=10.137 c=7.188 alpha=90.00 beta=90.06 gamma=90.00
Fractional coordinates of all 16 atoms:
1 La 0.000 0.000 0.000
2 La 0.499 0.000 0.000
3 Tb 0.001 0.000 0.500
4 Tb 0.500 0.500 0.500
5 Tb 0.999 0.500 0.000
6 Tb 0.999 0.500 0.500
7 Pm 0.250 0.253 0.748
8 Pm 0.250 0.254 0.252
9 Pm 0.250 0.746 0.252
10 Pm 0.250 0.747 0.748
11 Pm 0.749 0.252 0.748
12 Pm 0.749 0.748 0.748
13 Pm 0.750 0.252 0.252
14 Pm 0.750 0.748 0.252
15 Mg 0.500 0.000 0.500
16 Mg 0.500 0.500 0.000

---

The following is a DFT calculation (PBE-GGA) of a geometry-optimized La2Tb2PmMg5 structure.

Formation energy from the elements in eV/atom: -0.0004
Size of the total moment in μB/f.u.: 0.00

Unit cell a=10.695 b=10.695 c=5.168 alpha=90.00 beta=90.00 gamma=90.00
Fractional coordinates of all 20 atoms:
1 La 0.175 0.325 0.000
2 La 0.325 0.825 0.000
3 La 0.675 0.175 0.000
4 La 0.825 0.675 0.000
5 Tb 0.121 0.621 0.000
6 Tb 0.379 0.121 0.000
7 Tb 0.621 0.879 0.000
8 Tb 0.879 0.379 0.000
9 Pm 0.000 0.000 0.000
10 Pm 0.500 0.500 0.000
11 Mg 0.000 0.500 0.500
12 Mg 0.074 0.801 0.500
13 Mg 0.199 0.074 0.500
14 Mg 0.301 0.574 0.500
15 Mg 0.426 0.301 0.500
16 Mg 0.500 0.000 0.500
17 Mg 0.574 0.699 0.500
18 Mg 0.699 0.426 0.500
19 Mg 0.801 0.926 0.500
20 Mg 0.926 0.199 0.500